Entry 1:
A plane-wave DFT calculation with GGA-PBEsol was carried out for crystalline RbLiCl2 at its relaxed geometry.

energy relative to the elements, uncorrected	-1.8457	eV/atom
calculated total energy	-57.56	eV per cell

Cell: 7.2129 7.2129 8.0731 Å, 90.00 90.00 90.00°
Last column: nearest neighbours and their distance in Å.
Space group I-42d (No. 122)
Symmetry-distinct sites (fractional):
Rb: 0.0000 0.0000 0.0000 [4 per cell]  4 Cl 3.22
Li: 0.0000 0.0000 0.5000 [4 per cell]  4 Cl 2.36
Cl: 0.1572 0.2500 0.6250 [8 per cell]  2 Li 2.36


Entry 2:
A plane-wave DFT calculation with GGA-PBEsol was carried out for crystalline Rb2LiRhCl6 at its relaxed geometry.

energy relative to the elements, uncorrected	-1.4518	eV/atom
calculated total energy	-38.72	eV per cell

Cell: 6.9129 6.9129 6.0114 Å, 90.00 90.00 120.00°
Last column: nearest neighbours and their distance in Å.
Space group P-3m1 (No. 164)
Symmetry-distinct sites (fractional):
Rb: 0.3333 0.6667 0.2168 [2 per cell]  9 Cl 3.40-3.46
Li: 0.0000 0.0000 0.5000 [1 per cell]  6 Cl 2.50
Rh: 0.0000 0.0000 0.0000 [1 per cell]  6 Cl 2.33
Cl: 0.1579 0.3158 0.7723 [6 per cell]  1 Rh 2.33, 1 Li 2.50


Entry 3:
A plane-wave DFT calculation with GGA-PBEsol was carried out for crystalline Rb2LiRuCl6 at its relaxed geometry.

energy relative to the elements, uncorrected	-1.3896	eV/atom
calculated total energy	-40.13	eV per cell

Cell: 6.9064 6.9064 5.9550 Å, 90.00 90.00 120.00°
Last column: nearest neighbours and their distance in Å.
Space group P-3m1 (No. 164)
Symmetry-distinct sites (fractional):
Rb: 0.3333 0.6667 0.2246 [2 per cell]  9 Cl 3.42-3.45
Li: 0.0000 0.0000 0.5000 [1 per cell]  6 Cl 2.49
Ru: 0.0000 0.0000 0.0000 [1 per cell]  6 Cl 2.35
Cl: 0.1595 0.3189 0.7696 [6 per cell]  1 Ru 2.35, 1 Li 2.49


Entry 4:
A plane-wave DFT calculation with GGA-PBEsol was carried out for crystalline Rb2LiSbCl6 at its relaxed geometry.

energy relative to the elements, uncorrected	-1.5134	eV/atom
calculated total energy	-143.02	eV per cell

Cell: 10.2915 10.2915 10.2915 Å, 90.00 90.00 90.00°
Last column: nearest neighbours and their distance in Å.
Space group Fm-3m (No. 225)
Symmetry-distinct sites (fractional):
Rb: 0.2500 0.2500 0.2500 [8 per cell]  12 Cl 3.64
Li: 0.0000 0.0000 0.0000 [4 per cell]  6 Cl 2.52
Sb: 0.0000 0.0000 0.5000 [4 per cell]  6 Cl 2.62
Cl: 0.0000 0.0000 0.2451 [24 per cell]  1 Li 2.52, 1 Sb 2.62


Entry 5:
A plane-wave DFT calculation with GGA-PBEsol was carried out for crystalline Rb2LiTmCl6 at its relaxed geometry.

energy relative to the elements, uncorrected	-2.1065	eV/atom
calculated total energy	-168.11	eV per cell

Cell: 10.1784 10.1784 10.1784 Å, 90.00 90.00 90.00°
Last column: nearest neighbours and their distance in Å.
Space group Fm-3m (No. 225)
Symmetry-distinct sites (fractional):
Rb: 0.2500 0.2500 0.2500 [8 per cell]  12 Cl 3.60
Li: 0.0000 0.0000 0.0000 [4 per cell]  6 Cl 2.53
Tm: 0.0000 0.0000 0.5000 [4 per cell]  6 Cl 2.56
Cl: 0.0000 0.0000 0.2482 [24 per cell]  1 Li 2.53, 1 Tm 2.56


Entry 6:
A plane-wave DFT calculation with GGA-PBEsol was carried out for crystalline Rb2LiYCl6 at its relaxed geometry.

energy relative to the elements, uncorrected	-2.1021	eV/atom
calculated total energy	-175.63	eV per cell

Cell: 10.2371 10.2371 10.2371 Å, 90.00 90.00 90.00°
Last column: nearest neighbours and their distance in Å.
Space group Fm-3m (No. 225)
Symmetry-distinct sites (fractional):
Rb: 0.2500 0.2500 0.2500 [8 per cell]  12 Cl 3.62
Li: 0.0000 0.0000 0.0000 [4 per cell]  6 Cl 2.52
Y: 0.0000 0.0000 0.5000 [4 per cell]  6 Cl 2.60
Cl: 0.0000 0.0000 0.2463 [24 per cell]  1 Li 2.52, 1 Y 2.60


Entry 7:
A plane-wave DFT calculation with GGA-PBEsol was carried out for crystalline Li2ReCl at its relaxed geometry.

energy relative to the elements, uncorrected	-0.2620	eV/atom
calculated total energy	-60.96	eV per cell

Cell: 2.8403 2.8403 24.0537 Å, 90.00 90.00 120.00°
Last column: nearest neighbours and their distance in Å.
Space group R-3m (No. 166, hexagonal axes)
Symmetry-distinct sites (fractional):
Li: 0.0000 0.0000 0.2348 [6 per cell]  3 Cl 2.32
Re: 0.0000 0.0000 0.0000 [3 per cell]  6 Re 2.84, 6 Li 2.88
Cl: 0.0000 0.0000 0.5000 [3 per cell]  6 Li 2.32


Entry 8:
A plane-wave DFT calculation with GGA-PBEsol was carried out for crystalline LiRe2Cl at its relaxed geometry.

energy relative to the elements, uncorrected	0.9611	eV/atom
calculated total energy	-26.79	eV per cell

Cell: 2.6783 4.7825 4.9227 Å, 90.00 90.00 90.00°
Last column: nearest neighbours and their distance in Å.
Space group Pmmm (No. 47)
Symmetry-distinct sites (fractional):
Li: 0.0000 0.0000 0.0000 [1 per cell]  2 Cl 2.46, 2 Li 2.68
Re: 0.5000 0.5000 0.2353 [2 per cell]  1 Re 2.32
Cl: 0.0000 0.0000 0.5000 [1 per cell]  2 Li 2.46, 2 Cl 2.68


Entry 9:
A plane-wave DFT calculation with GGA-PBEsol was carried out for crystalline LiReCl2 at its relaxed geometry.

energy relative to the elements, uncorrected	-0.0693	eV/atom
calculated total energy	-39.18	eV per cell

Cell: 14.1484 3.0465 3.0475 Å, 90.00 90.63 90.00°
Last column: nearest neighbours and their distance in Å.
Space group Cm (No. 8)
Symmetry-distinct sites (fractional):
Li: 0.0000 0.0000 0.0000 [2 per cell]  4 Cl 2.26
Re: 0.1340 0.5000 0.5072 [2 per cell]  5 Cl 2.46-2.57
Cl: 0.2176 0.0000 0.0115 [2 per cell]  4 Re 2.46
Cl: 0.4525 0.0000 0.4976 [2 per cell]  4 Li 2.26


Entry 10:
A plane-wave DFT calculation with GGA-PBEsol was carried out for crystalline LiReCl2 at its relaxed geometry.

energy relative to the elements, uncorrected	0.0928	eV/atom
calculated total energy	-37.89	eV per cell

Cell: 6.2789 7.3803 2.8745 Å, 90.00 90.00 90.00°
Last column: nearest neighbours and their distance in Å.
Space group Cmmm (No. 65)
Symmetry-distinct sites (fractional):
Li: 0.0000 0.0000 0.0000 [2 per cell]  4 Cl 2.42
Re: 0.0000 0.5000 0.0000 [2 per cell]  4 Cl 2.42
Cl: 0.2500 0.2500 0.0000 [4 per cell]  2 Li 2.42, 2 Re 2.42


Entry 11:
A plane-wave DFT calculation with GGA-PBEsol was carried out for crystalline LiRe4Cl at its relaxed geometry.

energy relative to the elements, uncorrected	1.0949	eV/atom
calculated total energy	-202.93	eV per cell

Cell: 7.3481 7.3481 7.3481 Å, 90.00 90.00 90.00°
Last column: nearest neighbours and their distance in Å.
Space group F-43m (No. 216)
Symmetry-distinct sites (fractional):
Li: 0.0000 0.0000 0.0000 [4 per cell]  12 Re 3.05, 4 Cl 3.18
Re: 0.1246 0.1246 0.3754 [16 per cell]  6 Re 2.59-2.61
Cl: 0.2500 0.2500 0.7500 [4 per cell]  12 Re 3.05, 4 Li 3.18


Entry 12:
A plane-wave DFT calculation with GGA-PBEsol was carried out for crystalline Li2ReCl at its relaxed geometry.

energy relative to the elements, uncorrected	0.6494	eV/atom
calculated total energy	-33.35	eV per cell

Cell: 3.4960 3.4960 9.2482 Å, 90.00 90.00 90.00°
Last column: nearest neighbours and their distance in Å.
Space group I-4m2 (No. 119)
Symmetry-distinct sites (fractional):
Li: 0.0000 0.0000 0.0000 [2 per cell]  4 Re 2.47
Li: 0.0000 0.5000 0.2500 [2 per cell]  4 Cl 2.47
Re: 0.0000 0.0000 0.5000 [2 per cell]  4 Li 2.47
Cl: 0.0000 0.5000 0.7500 [2 per cell]  4 Li 2.47